The following is a PBE-GGA calculation of a geometry-optimized Hg2GeSbPt structure, from Alexandria via LeMat-Bulk.

For the formation energy (no corrections), the calculation gives 0.233 eV/atom. The calculation puts the total energy at -0.2090 Ry per atom.

The structure belongs to space group P4/mmm (No. 123); the cell edges are 5.3380, 5.3380 and 4.6822 Å and the angles 90.00°, 90.00° and 90.00°. Symmetry generates all atoms from Hg at (0.0000, 0.5000, 0.0000), Ge at (0.0000, 0.0000, 0.5000), Sb at (0.5000, 0.5000, 0.5000) and Pt at (0.0000, 0.0000, 0.0000).